# Mo5Pb | Alexandria | PBE | optimized geometry
data_Mo5Pb
_symmetry_space_group_name_H-M 'F -4 3 m'
_symmetry_Int_Tables_number 216
_symmetry_space_group_name_Hall 'F -4 2 3'
_cell_length_a 7.4898
_cell_length_b 7.4898
_cell_length_c 7.4898
_cell_angle_alpha 90.00
_cell_angle_beta 90.00
_cell_angle_gamma 90.00
loop_
_atom_site_label
_atom_site_type_symbol
_atom_site_fract_x
_atom_site_fract_y
_atom_site_fract_z
_atom_site_occupancy
Mo1 Mo 0.0000 0.0000 0.0000 1
Mo2 Mo 0.1246 0.1246 0.6246 1
Pb1 Pb 0.2500 0.2500 0.2500 1
# formation energy from the elements: 2.87 eV/f.u.
# uncorrected energy: -219.972 eV for the cell shown
# ΔE to the lowest computed polymorph: 185.9 meV/atom